1.
Compound: MnCoC3
Source: the Alexandria database
Functional: GGA-PBE
Structure: relaxed Values from VASP.

```
&SYSTEM
  ibrav = 0, nat = 5, ntyp = 3
/
ATOMIC_SPECIES
C 12.01 C.upf
Mn 54.94 Mn.upf
Co 58.93 Co.upf
CELL_PARAMETERS angstrom
3.706 0.000 0.000
0.000 3.706 0.000
0.000 0.000 3.706
ATOMIC_POSITIONS crystal
C 0.000 0.000 0.500
Mn 0.000 0.000 0.000
C 0.500 0.000 0.000
Co 0.500 0.500 0.500
C 0.000 0.500 0.000
```

Results
The calculated formation energy is 1.961 eV/atom. As for the space group: Pm-3m (221). The crystal system is cubic.

=====

2.
Compound: La2YHo2Tm2
Source: the Alexandria database
Functional: GGA-PBE
Structure: relaxed Values from VASP.

```
&SYSTEM
  ibrav = 0, nat = 7, ntyp = 4
/
ATOMIC_SPECIES
Tm 168.93 Tm.upf
La 138.91 La.upf
Ho 164.93 Ho.upf
Y 88.91 Y.upf
CELL_PARAMETERS angstrom
-3.405 -0.170 -0.859
3.120 -2.459 -4.686
0.208 -11.764 1.500
ATOMIC_POSITIONS crystal
Tm 0.548 0.096 0.232
La 0.673 0.346 0.915
Tm 0.452 0.904 0.768
Ho 0.227 0.453 0.634
La 0.327 0.654 0.085
Y 0.000 0.000 0.500
Ho 0.773 0.547 0.366
```

Results
The calculated formation energy is 0.089 eV/atom. As for the space group: C2/m (12). The crystal system is monoclinic.

=====

3.
Compound: K3Pa3GeN8
Source: the Alexandria database
Functional: GGA-PBE
Structure: relaxed Values from VASP.

```
&SYSTEM
  ibrav = 0, nat = 15, ntyp = 4
/
ATOMIC_SPECIES
N 14.01 N.upf
K 39.10 K.upf
Pa 231.04 Pa.upf
Ge 72.64 Ge.upf
CELL_PARAMETERS angstrom
-0.833 -6.651 0.227
4.046 3.044 4.958
-7.572 0.966 0.525
ATOMIC_POSITIONS crystal
N 0.752 0.949 0.651
N 0.803 0.051 0.349
K 0.500 0.500 0.000
N 0.718 0.436 0.666
N 0.248 0.051 0.349
N 0.743 0.485 0.314
Pa 0.000 0.500 0.500
K 0.000 0.000 0.000
N 0.197 0.949 0.651
Pa 0.500 0.500 0.500
K 0.000 0.500 0.000
Pa 0.500 0.000 0.500
Ge 0.000 0.000 0.500
N 0.282 0.564 0.334
N 0.257 0.515 0.686
```

Results
The formation energy from raw total energies comes out at -14.442 kcal/mol of atoms. As for the space group: C2/m (12). The crystal system is monoclinic.

=====

4.
Compound: Tm2InNi2Rh5
Source: the Alexandria database
Functional: GGA-PBE
Structure: relaxed Values from VASP.

```
&SYSTEM
  ibrav = 0, nat = 20, ntyp = 4
/
ATOMIC_SPECIES
Tm 168.93 Tm.upf
In 114.82 In.upf
Rh 102.91 Rh.upf
Ni 58.69 Ni.upf
CELL_PARAMETERS angstrom
3.881 0.000 0.000
0.000 9.188 0.000
0.000 0.000 9.188
ATOMIC_POSITIONS crystal
Tm 0.000 0.327 0.827
In 0.000 0.000 0.000
In 0.000 0.500 0.500
Rh 0.500 0.211 0.071
Ni 0.000 0.377 0.123
Tm 0.000 0.173 0.327
Rh 0.500 0.000 0.500
Rh 0.500 0.500 0.000
Rh 0.500 0.929 0.211
Rh 0.500 0.071 0.789
Tm 0.000 0.827 0.673
Ni 0.000 0.123 0.623
Rh 0.500 0.711 0.429
Rh 0.500 0.571 0.711
Tm 0.000 0.673 0.173
Ni 0.000 0.623 0.877
Rh 0.500 0.789 0.929
Rh 0.500 0.289 0.571
Rh 0.500 0.429 0.289
Ni 0.000 0.877 0.377
```

Results
The calculated formation energy is -0.533 eV/atom. As for the space group: P4/mbm (127). The crystal system is tetragonal.

=====

5.
Compound: Hf2Te2S
Source: the Alexandria database
Functional: GGA-PBE
Structure: relaxed Values from VASP.

```
&SYSTEM
  ibrav = 0, nat = 10, ntyp = 3
/
ATOMIC_SPECIES
Te 127.60 Te.upf
Hf 178.49 Hf.upf
S 32.06 S.upf
CELL_PARAMETERS angstrom
5.698 0.000 0.000
-2.849 6.446 -0.047
0.000 -3.511 7.171
ATOMIC_POSITIONS crystal
Te 0.671 0.342 0.628
Hf 0.197 0.394 0.584
Te 0.973 0.947 0.241
Te 0.329 0.658 0.372
Te 0.027 0.053 0.759
Hf 0.486 0.971 0.784
Hf 0.803 0.606 0.416
S 0.344 0.689 0.909
Hf 0.514 0.029 0.216
S 0.656 0.311 0.091
```

Results
The formation energy from raw total energies comes out at -21.876 kcal/mol of atoms. As for the space group: C2/m (12). The calculation puts the polymorph energy (0 for the lowest one) at 0.0 meV per atom. The crystal system is monoclinic.

=====

6.
Compound: MnNb2PtC
Source: the Alexandria database
Functional: GGA-PBE
Structure: relaxed Values from VASP.

```
&SYSTEM
  ibrav = 0, nat = 5, ntyp = 4
/
ATOMIC_SPECIES
C 12.01 C.upf
Nb 92.91 Nb.upf
Mn 54.94 Mn.upf
Pt 195.08 Pt.upf
CELL_PARAMETERS angstrom
4.313 0.000 0.000
0.000 4.313 0.000
0.000 0.000 3.837
ATOMIC_POSITIONS crystal
C 0.000 0.000 0.000
Nb 0.500 0.000 0.000
Mn 0.000 0.000 0.500
Pt 0.500 0.500 0.500
Nb 0.000 0.500 0.000
```

Results
The calculated formation energy is -0.329 eV/atom. As for the space group: P4/mmm (123). The crystal system is tetragonal.